[1]
Entry from Alexandria via LeMat-Bulk: a geometry-optimized Ac2PaAlRh6 structure (PBE-GGA).

a = 5.794 Å, b = 7.147 Å, c = 7.091 Å
α = 56.17°, β = 59.53°, γ = 72.41°
Fractional coordinates of all 10 atoms:
Ac: 0.348 0.804 0.382
Ac: 0.652 0.196 0.618
Pa: 0.500 0.500 0.000
Al: 0.000 0.000 0.000
Rh: 0.035 0.583 0.261
Rh: 0.861 0.724 0.912
Rh: 0.245 0.152 0.521
Rh: 0.965 0.417 0.739
Rh: 0.139 0.276 0.088
Rh: 0.755 0.848 0.479

E ... -7.209 eV/atom
DFT formation energy ... -6.5 eV/f.u.
Theoretical density ... 10506 kg/m³
Space-group type ... P-1, No. 2

---

[2]
Entry from Alexandria via LeMat-Bulk: a geometry-optimized AcPaAlS6 structure (PBE-GGA).

a = 5.925 Å, b = 6.678 Å, c = 6.678 Å
α = 120.00°, β = 90.00°, γ = 90.00°
Fractional coordinates of all 9 atoms:
Ac: 0.500 0.667 0.333
Pa: 0.000 0.333 0.667
Al: 0.500 0.000 0.000
S: 0.743 0.684 0.727
S: 0.743 0.273 0.957
S: 0.743 0.043 0.316
S: 0.257 0.273 0.316
S: 0.257 0.684 0.957
S: 0.257 0.043 0.727

E ... -5.911 eV/atom
Theoretical density ... 4916 kg/m³
Space-group type ... P312, No. 149
E_form (uncorrected) ... -1.232 eV per atom

---

[3]
Entry from Alexandria via LeMat-Bulk: a geometry-optimized AcPa2AlS8 structure (PBE-GGA).

a = 6.262 Å, b = 6.144 Å, c = 8.296 Å
α = 90.00°, β = 90.00°, γ = 86.09°
Fractional coordinates of all 12 atoms:
Ac: 0.000 0.000 0.500
Pa: 0.500 0.500 0.761
Pa: 0.500 0.500 0.239
Al: 0.000 0.000 0.000
S: 0.167 0.779 0.206
S: 0.665 0.719 0.000
S: 0.833 0.221 0.206
S: 0.833 0.221 0.794
S: 0.335 0.281 0.000
S: 0.167 0.779 0.794
S: 0.640 0.710 0.500
S: 0.360 0.290 0.500

E ... -6.441 eV/atom
Theoretical density ... 5071 kg/m³
Space-group type ... P2/m, No. 10
E_form (uncorrected) ... -1.453 eV per atom

---

[4]
Entry from Alexandria via LeMat-Bulk: a geometry-optimized AcPaAl2Si2 structure (PBE-GGA).

a = 4.225 Å, b = 4.225 Å, c = 8.683 Å
α = 90.00°, β = 90.00°, γ = 120.00°
Fractional coordinates of all 6 atoms:
Ac: 0.000 0.000 0.000
Pa: 0.000 0.000 0.500
Al: 0.667 0.333 0.270
Al: 0.333 0.667 0.730
Si: 0.667 0.333 0.719
Si: 0.333 0.667 0.281

E ... -5.757 eV/atom
Theoretical density ... 7028 kg/m³
Space-group type ... P-3m1, No. 164
E_form (uncorrected) ... -0.434 eV per atom

---

[5]
Entry from Alexandria via LeMat-Bulk: a geometry-optimized Ac8AlPb5 structure (PBE-GGA).

a = 8.882 Å, b = 8.882 Å, c = 8.882 Å
α = 109.54°, β = 109.33°, γ = 109.54°
Fractional coordinates of all 14 atoms:
Ac: 0.130 0.749 0.011
Ac: 0.989 0.119 0.738
Ac: 0.766 0.248 0.375
Ac: 0.625 0.391 0.874
Ac: 0.482 0.609 0.234
Ac: 0.619 0.881 0.870
Ac: 0.262 0.251 0.381
Ac: 0.126 0.752 0.518
Al: 0.250 0.500 0.750
Pb: 0.999 0.376 0.127
Pb: 0.873 0.872 0.249
Pb: 0.751 0.624 0.623
Pb: 0.500 0.000 0.500
Pb: 0.377 0.128 0.001

E ... -4.408 eV/atom
DFT formation energy ... -6.6 eV/f.u.
Theoretical density ... 8863 kg/m³
Space-group type ... I-4, No. 82

---

[6]
Entry from Alexandria via LeMat-Bulk: a geometry-optimized AcAl4Pb structure (PBE-GGA).

a = 5.842 Å, b = 5.842 Å, c = 5.842 Å
α = 60.00°, β = 60.00°, γ = 60.00°
Fractional coordinates of all 6 atoms:
Pb: 0.000 0.000 0.000
Ac: 0.250 0.250 0.250
Al: 0.626 0.626 0.122
Al: 0.626 0.122 0.626
Al: 0.626 0.626 0.626
Al: 0.122 0.626 0.626

E ... -3.887 eV/atom
DFT formation energy ... -0.5 eV/f.u.
Theoretical density ... 6386 kg/m³
Space-group type ... F-43m, No. 216

---

[7]
Entry from Alexandria via LeMat-Bulk: a geometry-optimized Ac7AlPb4 structure (PBE-GGA).

a = 6.065 Å, b = 9.769 Å, c = 9.843 Å
α = 57.42°, β = 72.05°, γ = 71.91°
Fractional coordinates of all 12 atoms:
Ac: 0.844 0.932 0.380
Ac: 0.156 0.068 0.620
Ac: 0.069 0.601 0.261
Ac: 0.931 0.399 0.739
Ac: 0.291 0.596 0.823
Ac: 0.500 0.000 0.000
Ac: 0.709 0.404 0.177
Al: 0.000 0.000 0.000
Pb: 0.553 0.304 0.589
Pb: 0.447 0.696 0.411
Pb: 0.716 0.772 0.795
Pb: 0.284 0.228 0.205

E ... -4.243 eV/atom
DFT formation energy ... -3.6 eV/f.u.
Theoretical density ... 8827 kg/m³
Space-group type ... C2/m, No. 12

---

[8]
Entry from Alexandria via LeMat-Bulk: a geometry-optimized Ac3AlPb2 structure (PBE-GGA).

a = 6.931 Å, b = 7.093 Å, c = 9.404 Å
α = 103.84°, β = 111.62°, γ = 90.00°
Fractional coordinates of all 12 atoms:
Ac: 0.682 0.250 0.000
Ac: 0.318 0.750 0.000
Ac: 0.281 0.119 0.346
Ac: 0.934 0.381 0.654
Ac: 0.066 0.619 0.346
Ac: 0.719 0.881 0.654
Al: 0.827 0.750 0.000
Al: 0.173 0.250 0.000
Pb: 0.547 0.524 0.304
Pb: 0.757 0.024 0.304
Pb: 0.243 0.976 0.696
Pb: 0.453 0.476 0.696

E ... -4.249 eV/atom
DFT formation energy ... -2.0 eV/f.u.
Energy relative to the lowest polymorph listed for this composition ... 0.110 eV/atom
Theoretical density ... 8976 kg/m³
Space-group type ... C2/c, No. 15

---

[9]
Entry from Alexandria via LeMat-Bulk: a geometry-optimized AcAlPb structure (PBE-GGA).

a = 4.580 Å, b = 4.866 Å, c = 9.133 Å
α = 105.45°, β = 107.55°, γ = 90.00°
Fractional coordinates of all 6 atoms:
Ac: 0.608 0.891 0.783
Ac: 0.392 0.109 0.217
Al: 0.206 0.462 0.924
Al: 0.794 0.538 0.076
Pb: 0.922 0.296 0.592
Pb: 0.078 0.704 0.408

E ... -4.235 eV/atom
DFT formation energy ... -1.1 eV/f.u.
Energy relative to the lowest polymorph listed for this composition ... 0.000 eV/atom
Theoretical density ... 8218 kg/m³
Space-group type ... C2/m, No. 12

---

[10]
Entry from Alexandria via LeMat-Bulk: a geometry-optimized AcAlPb structure (PBE-GGA).

a = 3.840 Å, b = 3.840 Å, c = 6.675 Å
α = 106.72°, β = 106.72°, γ = 90.00°
Fractional coordinates of all 3 atoms:
Pb: 0.304 0.304 0.609
Ac: 0.009 0.009 0.017
Al: 0.687 0.687 0.374

E ... -4.034 eV/atom
DFT formation energy ... -0.5 eV/f.u.
Energy relative to the lowest polymorph listed for this composition ... 0.201 eV/atom
Theoretical density ... 8515 kg/m³
Space-group type ... I4mm, No. 107

---

[11]
Entry from Alexandria via LeMat-Bulk: a geometry-optimized Ac6Al2Pb structure (PBE-GGA).

a = 9.618 Å, b = 9.618 Å, c = 9.618 Å
α = 106.14°, β = 110.97°, γ = 111.35°
Fractional coordinates of all 18 atoms:
Ac: 0.546 0.726 0.819
Ac: 0.454 0.274 0.181
Ac: 0.093 0.274 0.819
Ac: 0.907 0.726 0.181
Ac: 0.797 0.759 0.556
Ac: 0.203 0.241 0.444
Ac: 0.203 0.759 0.962
Ac: 0.797 0.241 0.038
Ac: 0.706 0.382 0.676
Ac: 0.294 0.618 0.324
Ac: 0.294 0.969 0.676
Ac: 0.706 0.031 0.324
Al: 0.500 0.385 0.885
Al: 0.500 0.615 0.115
Al: 0.629 0.000 0.629
Al: 0.371 0.000 0.371
Pb: 0.000 0.500 0.500
Pb: 0.000 0.000 0.000

E ... -4.227 eV/atom
DFT formation energy ... -2.2 eV/f.u.
Theoretical density ... 7890 kg/m³
Space-group type ... Immm, No. 71

---

[12]
Entry from Alexandria via LeMat-Bulk: a geometry-optimized Ac8AlPb2 structure (PBE-GGA).

a = 5.660 Å, b = 7.517 Å, c = 10.952 Å
α = 103.01°, β = 104.98°, γ = 90.00°
Fractional coordinates of all 11 atoms:
Ac: 0.411 0.537 0.822
Ac: 0.655 0.993 0.310
Ac: 0.789 0.674 0.578
Ac: 0.982 0.224 0.963
Ac: 0.211 0.326 0.422
Ac: 0.345 0.007 0.690
Ac: 0.589 0.463 0.178
Ac: 0.018 0.776 0.037
Al: 0.500 0.000 0.000
Pb: 0.818 0.239 0.635
Pb: 0.182 0.761 0.365

E ... -4.201 eV/atom
DFT formation energy ... -2.2 eV/f.u.
Theoretical density ... 8562 kg/m³
Space-group type ... C2/m, No. 12